Entry 1:
A geometry-optimized RbTl4Cd2Ga structure, computed with PBE.

Unit cell a=5.3159 b=5.3159 c=31.3064 alpha=90.00 beta=90.00 gamma=120.00
Space group R-3m (No. 166, hexagonal axes)
Symmetry-distinct sites (fractional):
1 Rb 0.0000 0.0000 0.0000 [3 per cell]
2 Tl 0.0000 0.0000 0.1340 [6 per cell]
3 Tl 0.0000 0.0000 0.4059 [6 per cell]
4 Cd 0.0000 0.0000 0.2394 [6 per cell]
5 Ga 0.0000 0.0000 0.5000 [3 per cell]

Results
energy of formation	-0.013	eV/atom

---

Entry 2:
A geometry-optimized RbTl2CdGa structure, computed with PBE.

Unit cell a=5.796 b=5.796 c=5.378 alpha=90.00 beta=90.00 gamma=90.00
Space group P4/mmm (No. 123)
Symmetry-distinct sites (fractional):
1 Rb 0.000 0.000 0.000 [1 per cell]
2 Tl 0.000 0.500 0.500 [2 per cell]
3 Cd 0.500 0.500 0.000 [1 per cell]
4 Ga 0.500 0.500 0.500 [1 per cell]

Results
energy of formation	0.061	eV/atom
relative energy among the computed polymorphs	0.0000	eV/atom